# NdPuTh2, optimized geometry, DFT PBE
# Energy above the most stable polymorph in this dataset, eV/atom: 0.0087
# Energy, eV per cell: -33.4
# Symmetry: P4/mmm, No. 123
data_NdPuTh2
_chemical_formula_sum 'Nd1 Pu1 Th2'
_cell_length_a 4.876
_cell_length_b 5.045
_cell_length_c 5.045
_cell_angle_alpha 90.00
_cell_angle_beta 90.00
_cell_angle_gamma 90.00
_space_group_name_H-M_alt 'P 1'
_space_group_IT_number 1
_space_group_name_Hall 'P 1'
loop_
_atom_site_label
_atom_site_fract_x
_atom_site_fract_y
_atom_site_fract_z
Nd1 0.500 0.000 0.000
Th1 0.000 0.000 0.500
Th2 0.000 0.500 0.000
Pu1 0.500 0.500 0.500

***

# LiTi3Sb, optimized geometry, DFT PBE
# Energy above the most stable polymorph in this dataset, eV/atom: 0.4321
# Formation energy (no corrections), kcal/mol of atoms: 19.70
# Energy, eV per cell: -25.5
# Symmetry: Pm-3m, No. 221
data_LiTi3Sb
_chemical_formula_sum 'Li1 Ti3 Sb1'
_cell_length_a 5.089
_cell_length_b 5.089
_cell_length_c 5.089
_cell_angle_alpha 90.00
_cell_angle_beta 90.00
_cell_angle_gamma 90.00
_space_group_name_H-M_alt 'P 1'
_space_group_IT_number 1
_space_group_name_Hall 'P 1'
loop_
_atom_site_label
_atom_site_fract_x
_atom_site_fract_y
_atom_site_fract_z
Sb1 0.000 0.000 0.000
Li1 0.500 0.500 0.500
Ti1 0.000 0.500 0.000
Ti2 0.000 0.000 0.500
Ti3 0.500 0.000 0.000